Here is a relaxed ZnTcP2 crystal from the Alexandria database. Energies are from GGA-PBE.

POSCAR file:
```
ZnTcP2
1.0
3.147 0.000 0.000
0.000 4.916 0.000
0.000 0.000 7.806
Zn Tc P
2 2 4
Direct
0.000 0.000 0.000
0.500 0.500 0.000
0.000 0.000 0.500
0.500 0.500 0.500
0.000 0.500 0.267
0.000 0.500 0.733
0.500 0.000 0.267
0.500 0.000 0.733
```

Computed properties:
DFT formation energy: 0.2365 eV per atom
Calculated total energy: -43.0 eV per cell
Space-group type: Cmmm (65)